! CaScV3 (PBE, relaxed); values from VASP
&SYSTEM
  ibrav = 0, nat = 5, ntyp = 3
/
ATOMIC_SPECIES
Ca 40.08 Ca.upf
Sc 44.96 Sc.upf
V 50.94 V.upf
ATOMIC_POSITIONS angstrom
Ca 0.000 0.000 0.000
Sc 2.436 2.436 2.436
V 0.000 2.436 2.436
V 2.436 0.000 2.436
V 2.436 2.436 0.000
CELL_PARAMETERS angstrom
4.871 0.000 0.000
0.000 4.871 0.000
0.000 0.000 4.871
! Crystal system: cubic
! Size of the total moment: 8.0 μB per formula unit
! VASP energy: -29.0 eV per formula unit
! E_form: 1.3381 eV/atom
! SG: No. 221